Entry 1:
The following is a SCAN calculation of a PBEsol-optimized structure of MoPW2, from Alexandria via LeMat-Bulk.

Results
For the theoretical density, the calculation gives 14.16 g/cm³. The magnetization is 0.000 Bohr magnetons per cell. For the density of states at the Fermi level, the calculation gives 2.04 states/eV/f.u. The value obtained for the formation energy is 0.303 eV per atom.

a b c (Å): 6.1444 6.1444 6.1444
angles (deg): 90.00 90.00 90.00
Space group F-43m (No. 216)
Symmetry-distinct sites (fractional):
Mo 0.0000 0.0000 0.0000 (multiplicity 4)
P 0.2500 0.2500 0.2500 (multiplicity 4)
W 0.0000 0.0000 0.5000 (multiplicity 4)
W 0.2500 0.2500 0.7500 (multiplicity 4)

=====

Entry 2:
The following is a SCAN calculation of a PBEsol-optimized structure of MoPW2, from Alexandria via LeMat-Bulk.

Results
For the theoretical density, the calculation gives 14.13 g/cm³. The magnetization is 0.000 Bohr magnetons per cell. For the density of states at the Fermi level, the calculation gives 2.56 states/eV/f.u. The value obtained for the formation energy is 0.304 eV per atom.

a b c (Å): 3.6290 3.6290 8.8250
angles (deg): 90.00 90.00 90.00
Space group I-4m2 (No. 119)
Symmetry-distinct sites (fractional):
Mo 0.0000 0.0000 0.0000 (multiplicity 2)
P 0.0000 0.5000 0.2500 (multiplicity 2)
W 0.0000 0.0000 0.5000 (multiplicity 2)
W 0.0000 0.5000 0.7500 (multiplicity 2)

=====

Entry 3:
The following is a SCAN calculation of a PBEsol-optimized structure of MoPW2, from Alexandria via LeMat-Bulk.

Results
For the theoretical density, the calculation gives 13.82 g/cm³. The magnetization is 0.000 Bohr magnetons per cell. For the density of states at the Fermi level, the calculation gives 2.91 states/eV/f.u. The value obtained for the formation energy is 0.309 eV per atom.

a b c (Å): 2.8900 2.8900 24.6506
angles (deg): 90.00 90.00 120.00
Space group R3m (No. 160, hexagonal axes)
Symmetry-distinct sites (fractional):
Mo 0.0000 0.0000 0.0000 (multiplicity 3)
P 0.0000 0.0000 0.7422 (multiplicity 3)
W 0.0000 0.0000 0.2426 (multiplicity 3)
W 0.0000 0.0000 0.4844 (multiplicity 3)

=====

Entry 4:
The following is a SCAN calculation of a PBEsol-optimized structure of Mo2PW, from Alexandria via LeMat-Bulk.

Results
For the theoretical density, the calculation gives 11.85 g/cm³. The magnetization is 0.000 Bohr magnetons per cell. For the density of states at the Fermi level, the calculation gives 2.06 states/eV/f.u. The value obtained for the formation energy is 0.025 eV per atom.

a b c (Å): 3.1025 4.1821 8.7867
angles (deg): 90.00 90.00 90.00
Space group Imm2 (No. 44)
Symmetry-distinct sites (fractional):
Mo 0.0000 0.0000 0.0000 (multiplicity 2)
Mo 0.0000 0.5000 0.2394 (multiplicity 2)
P 0.0000 0.5000 0.7398 (multiplicity 2)
W 0.0000 0.0000 0.4794 (multiplicity 2)

=====

Entry 5:
The following is a SCAN calculation of a PBEsol-optimized structure of MoPW, from Alexandria via LeMat-Bulk.

Results
For the theoretical density, the calculation gives 11.16 g/cm³. The magnetization is 0.000 Bohr magnetons per cell. For the density of states at the Fermi level, the calculation gives 3.20 states/eV/f.u. The value obtained for the formation energy is 0.346 eV per atom.

a b c (Å): 5.6976 5.6976 5.6976
angles (deg): 90.00 90.00 90.00
Space group F-43m (No. 216)
Symmetry-distinct sites (fractional):
Mo 0.0000 0.0000 0.0000 (multiplicity 4)
P 0.2500 0.2500 0.7500 (multiplicity 4)
W 0.0000 0.0000 0.5000 (multiplicity 4)

=====

Entry 6:
The following is a SCAN calculation of a PBEsol-optimized structure of Y2Mo2P, from Alexandria via LeMat-Bulk.

Results
For the theoretical density, the calculation gives 6.30 g/cm³. The magnetization is 0.000 Bohr magnetons per cell. For the density of states at the Fermi level, the calculation gives 4.05 states/eV/f.u. The value obtained for the formation energy is -0.203 eV per atom.

a b c (Å): 3.5285 3.5285 16.9533
angles (deg): 90.00 90.00 90.00
Space group I4/mmm (No. 139)
Symmetry-distinct sites (fractional):
Y 0.0000 0.0000 0.0943 (multiplicity 4)
Mo 0.0000 0.5000 0.2500 (multiplicity 4)
P 0.0000 0.0000 0.5000 (multiplicity 2)

=====

Entry 7:
The following is a SCAN calculation of a PBEsol-optimized structure of Zn2MoP, from Alexandria via LeMat-Bulk.

Results
For the theoretical density, the calculation gives 7.16 g/cm³. The magnetization is 0.000 Bohr magnetons per cell. For the density of states at the Fermi level, the calculation gives 2.04 states/eV/f.u. The value obtained for the formation energy is 0.051 eV per atom.

a b c (Å): 2.9629 2.9629 23.5744
angles (deg): 90.00 90.00 120.00
Space group R3m (No. 160, hexagonal axes)
Symmetry-distinct sites (fractional):
Zn 0.0000 0.0000 0.0000 (multiplicity 3)
Zn 0.0000 0.0000 0.2484 (multiplicity 3)
Mo 0.0000 0.0000 0.4906 (multiplicity 3)
P 0.0000 0.0000 0.7536 (multiplicity 3)

=====

Entry 8:
The following is a SCAN calculation of a PBEsol-optimized structure of ZnMoP, from Alexandria via LeMat-Bulk.

Results
For the theoretical density, the calculation gives 6.62 g/cm³. The magnetization is 2.830 Bohr magnetons per cell. For the density of states at the Fermi level, the calculation gives 1.93 states/eV/f.u. The value obtained for the formation energy is 0.391 eV per atom.

a b c (Å): 5.7794 5.7794 5.7794
angles (deg): 90.00 90.00 90.00
Space group F-43m (No. 216)
Symmetry-distinct sites (fractional):
Zn 0.0000 0.0000 0.0000 (multiplicity 4)
Mo 0.2500 0.2500 0.7500 (multiplicity 4)
P 0.0000 0.0000 0.5000 (multiplicity 4)